Density functional theory data (GGA-PBE) for crystalline TlAg2Sb2 at its relaxed geometry.

Its formation energy from raw total energies is 0.105 eV/atom. The energy above the most stable polymorph in this dataset comes out at 0.384 eV/f.u. The calculation puts the volume at 251.18 Å³ per cell.

It has space group P4/mbm (No. 127), with a = 8.9382 Å, b = 8.9382 Å, c = 3.1440 Å, α = 90.00°, β = 90.00° and γ = 90.00°. The distinct sites, in fractional coordinates, are Tl at (0.0000, 0.0000, 0.0000), Ag at (0.1496, 0.3504, 0.5000) and Sb at (0.1465, 0.6465, 0.0000).